# NaBeC2O

A crystal of NaBeC2O relaxed with PBEsol (SCAN, Alexandria via LeMat-Bulk).

Properties
As for the density of states at the Fermi level: 1.9 states/eV/cell. The value obtained for the total DFT energy (no corrections) is -5.546 eV/atom. Its symmetry is No. 123. The total magnetization comes out at 1.1 μB/f.u. Its formation energy without anion corrections is 7.3 eV per formula unit.

Unit cell a=2.9549 b=4.2870 c=4.2870 alpha=90.00 beta=90.00 gamma=90.00
Last column: nearest neighbours and their distance in Å.
Element x y z (fractional)
C  0.0000  0.5000  0.0000  2 O 2.14
C  0.0000  0.0000  0.5000  2 O 2.14
Be  0.5000  0.0000  0.0000  2 O 1.48
Na  0.5000  0.5000  0.5000  8 C 2.60
O  0.0000  0.0000  0.0000  2 Be 1.48